(1)
Computed, not measured: a relaxed CoNi3Br crystal at the PBE level of DFT.

a b c (Å): 4.370 4.370 4.370
angles (deg): 90.00 90.00 90.00
Space group Pm-3m (No. 221)
Asymmetric unit:
Co (0.000, 0.000, 0.000) [1 per cell]
Ni (0.000, 0.000, 0.500) [3 per cell]
Br (0.500, 0.500, 0.500) [1 per cell]

Summary:
Offset from the most stable computed form = 0.000 eV per atom

(2)
Computed, not measured: a relaxed Co5NiBr12 crystal at the PBE level of DFT.

a b c (Å): 6.452 11.179 13.853
angles (deg): 90.00 90.05 90.00
Space group C2/m (No. 12)
Asymmetric unit:
Co (0.000, 0.000, 0.000) [2 per cell]
Co (0.000, 0.167, 0.500) [4 per cell]
Co (0.000, 0.333, 0.000) [4 per cell]
Ni (0.000, 0.500, 0.500) [2 per cell]
Br (0.164, 0.336, 0.602) [8 per cell]
Br (0.166, 0.167, 0.896) [8 per cell]
Br (0.167, 0.500, 0.897) [4 per cell]
Br (0.172, 0.000, 0.602) [4 per cell]

(3)
Computed, not measured: a relaxed CoNiBr3 crystal at the PBE level of DFT.

a b c (Å): 4.927 4.927 4.927
angles (deg): 90.00 90.00 90.00
Space group Pm-3m (No. 221)
Asymmetric unit:
Co (0.000, 0.000, 0.000) [1 per cell]
Ni (0.500, 0.500, 0.500) [1 per cell]
Br (0.000, 0.000, 0.500) [3 per cell]

Summary:
Offset from the most stable computed form = 0.051 eV per atom

Number 1: formation energy (no corrections) 493 kJ/mol of formula units. Number 2: formation energy (no corrections) -470 kJ/mol of formula units. Number 3: formation energy (no corrections) 248 kJ/mol of formula units.